A plane-wave DFT calculation with PBEsol was carried out for a relaxed CaLaRu crystal.

Properties
The total magnetic moment is 0.00 μB/cell. The value obtained for the formation energy is 0.02 eV/f.u. The calculated total energy is -5.88 eV per atom. The calculation puts the relative energy among the computed polymorphs at 1 meV/atom.

a b c (Å): 3.4412 3.4412 7.2045
angles (deg): 103.82 103.82 90.00
Last column: nearest neighbours and their distance in Å.
Sites, in units of the cell vectors:
La  0.7137  0.7137  0.4274  4 Ru 2.87
Ru  0.3260  0.3260  0.6519  4 La 2.87, 4 Ca 3.04
Ca  0.9603  0.9603  0.9206  4 Ru 3.04, 1 La 3.34